DFT (PBE) results for a relaxed structure of Cr2TeRu.

DOS at the Fermi energy: 3.84 states/eV/f.u.
Energy: -7.5574 eV/atom
Magnetization: 5.3 μB per formula unit

abc: 3.945 3.944 3.928
angles: 90.00 90.00 90.00
Element x y z (fractional)
1 Cr 0.500 0.500 0.000
2 Cr 0.000 0.000 0.000
3 Ru 0.500 0.000 0.500
4 Te 0.000 0.500 0.500